# 1
Compound: Ir2RhPb
Source: Alexandria
Functional: meta-GGA SCAN
Structure: single point on PBEsol structure

```
data_Ir2RhPb
_chemical_formula_sum 'Ir2 Rh1 Pb1'
_space_group_name_H-M_alt 'P m m 2'
_space_group_IT_number 25
_cell_length_a 2.8640
_cell_length_b 4.5072
_cell_length_c 4.9396
_cell_angle_alpha 90.00
_cell_angle_beta 90.00
_cell_angle_gamma 90.00
loop_
_space_group_symop_operation_xyz
'x,y,z'
'-x,-y,z'
'-x,y,z'
'x,-y,z'
loop_
_atom_site_label
_atom_site_fract_x
_atom_site_fract_y
_atom_site_fract_z
_atom_site_occupancy
Ir1 0.0000 0.0000 0.0000 1
Ir2 0.5000 0.5000 0.1166 1
Rh1 0.0000 0.5000 0.6562 1
Pb1 0.5000 0.0000 0.4944 1
```

Computed properties:
- Fermi-level density of states (states/eV/cell) = 3.61
- formation energy (eV/atom) = 0.425
- size of the total moment (μB per cell) = 0.00


# 2
Compound: Ir2RuPb
Source: Alexandria
Functional: meta-GGA SCAN
Structure: single point on PBEsol structure

```
data_Ir2RuPb
_chemical_formula_sum 'Ir2 Ru1 Pb1'
_space_group_name_H-M_alt 'P 1 2/m 1'
_space_group_IT_number 10
_cell_length_a 2.8849
_cell_length_b 4.7632
_cell_length_c 4.7063
_cell_angle_alpha 90.00
_cell_angle_beta 90.34
_cell_angle_gamma 90.00
loop_
_space_group_symop_operation_xyz
'x,y,z'
'-x,-y,-z'
'-x,y,-z'
'x,-y,z'
loop_
_atom_site_label
_atom_site_fract_x
_atom_site_fract_y
_atom_site_fract_z
_atom_site_occupancy
Ir1 0.2342 0.0000 0.2631 1
Ru1 0.0000 0.5000 0.5000 1
Pb1 0.5000 0.5000 0.0000 1
```

Computed properties:
- Fermi-level density of states (states/eV/cell) = 2.91
- formation energy (eV/atom) = 0.648
- size of the total moment (μB per cell) = 1.08


# 3
Compound: Ir2RuPb
Source: Alexandria
Functional: meta-GGA SCAN
Structure: single point on PBEsol structure

```
data_Ir2RuPb
_chemical_formula_sum 'Ir2 Ru1 Pb1'
_space_group_name_H-M_alt 'P m m 2'
_space_group_IT_number 25
_cell_length_a 2.8520
_cell_length_b 4.4816
_cell_length_c 5.0135
_cell_angle_alpha 90.00
_cell_angle_beta 90.00
_cell_angle_gamma 90.00
loop_
_space_group_symop_operation_xyz
'x,y,z'
'-x,-y,z'
'-x,y,z'
'x,-y,z'
loop_
_atom_site_label
_atom_site_fract_x
_atom_site_fract_y
_atom_site_fract_z
_atom_site_occupancy
Ir1 0.0000 0.0000 0.0000 1
Ir2 0.0000 0.5000 0.3065 1
Ru1 0.5000 0.5000 0.8632 1
Pb1 0.5000 0.0000 0.5124 1
```

Computed properties:
- Fermi-level density of states (states/eV/cell) = 3.13
- formation energy (eV/atom) = 0.568
- size of the total moment (μB per cell) = 0.00


# 4
Compound: SbIr2Pb
Source: Alexandria
Functional: meta-GGA SCAN
Structure: single point on PBEsol structure

```
data_SbIr2Pb
_chemical_formula_sum 'Sb4 Ir8 Pb4'
_space_group_name_H-M_alt 'F -4 3 m'
_space_group_IT_number 216
_space_group_name_Hall 'F -4 2 3'
_cell_length_a 6.6909
_cell_length_b 6.6909
_cell_length_c 6.6909
_cell_angle_alpha 90.00
_cell_angle_beta 90.00
_cell_angle_gamma 90.00
loop_
_atom_site_label
_atom_site_fract_x
_atom_site_fract_y
_atom_site_fract_z
_atom_site_occupancy
Sb1 0.0000 0.0000 0.0000 1
Ir1 0.0000 0.0000 0.5000 1
Ir2 0.2500 0.2500 0.7500 1
Pb1 0.2500 0.2500 0.2500 1
```

Computed properties:
- Fermi-level density of states (states/eV/cell) = 13.21
- energy relative to the elements, uncorrected (meV per atom) = 866
- E above lowest polymorph (meV per atom) = 643
- size of the total moment (μB per cell) = 0.00


# 5
Compound: Sb3IrPb
Source: Alexandria
Functional: meta-GGA SCAN
Structure: single point on PBEsol structure

```
data_Sb3IrPb
_chemical_formula_sum 'Sb3 Ir1 Pb1'
_space_group_name_H-M_alt 'P m -3 m'
_space_group_IT_number 221
_space_group_name_Hall '-P 4 2 3'
_cell_length_a 5.4620
_cell_length_b 5.4620
_cell_length_c 5.4620
_cell_angle_alpha 90.00
_cell_angle_beta 90.00
_cell_angle_gamma 90.00
loop_
_atom_site_label
_atom_site_fract_x
_atom_site_fract_y
_atom_site_fract_z
_atom_site_occupancy
Sb1 0.0000 0.0000 0.5000 1
Ir1 0.5000 0.5000 0.5000 1
Pb1 0.0000 0.0000 0.0000 1
```

Computed properties:
- Fermi-level density of states (states/eV/cell) = 4.57
- energy relative to the elements, uncorrected (meV per atom) = 2027
- size of the total moment (μB per cell) = 0.00


# 6
Compound: SbIr2Pb
Source: Alexandria
Functional: meta-GGA SCAN
Structure: single point on PBEsol structure

```
data_SbIr2Pb
_chemical_formula_sum 'Sb2 Ir4 Pb2'
_space_group_name_H-M_alt 'A m m 2'
_space_group_IT_number 38
_cell_length_a 3.9232
_cell_length_b 3.7052
_cell_length_c 10.5229
_cell_angle_alpha 90.00
_cell_angle_beta 90.00
_cell_angle_gamma 90.00
loop_
_space_group_symop_operation_xyz
'x,y,z'
'-x,-y,z'
'-x,y,z'
'x,-y,z'
'x,y+1/2,z+1/2'
'-x,-y+1/2,z+1/2'
'-x,y+1/2,z+1/2'
'x,-y+1/2,z+1/2'
loop_
_atom_site_label
_atom_site_fract_x
_atom_site_fract_y
_atom_site_fract_z
_atom_site_occupancy
Sb1 0.0000 0.0000 0.0000 1
Ir1 0.0000 0.0000 0.7347 1
Ir2 0.5000 0.0000 0.5658 1
Pb1 0.5000 0.0000 0.3008 1
```

Computed properties:
- Fermi-level density of states (states/eV/cell) = 4.98
- energy relative to the elements, uncorrected (meV per atom) = 222
- E above lowest polymorph (meV per atom) = 0
- size of the total moment (μB per cell) = 0.00


# 7
Compound: Sc4IrPb
Source: Alexandria
Functional: meta-GGA SCAN
Structure: single point on PBEsol structure

```
data_Sc4IrPb
_chemical_formula_sum 'Sc16 Ir4 Pb4'
_space_group_name_H-M_alt 'F -4 3 m'
_space_group_IT_number 216
_space_group_name_Hall 'F -4 2 3'
_cell_length_a 7.8255
_cell_length_b 7.8255
_cell_length_c 7.8255
_cell_angle_alpha 90.00
_cell_angle_beta 90.00
_cell_angle_gamma 90.00
loop_
_atom_site_label
_atom_site_fract_x
_atom_site_fract_y
_atom_site_fract_z
_atom_site_occupancy
Sc1 0.1235 0.1235 0.1235 1
Ir1 0.2500 0.2500 0.7500 1
Pb1 0.0000 0.0000 0.5000 1
```

Computed properties:
- Fermi-level density of states (states/eV/cell) = 17.76
- formation energy (eV/atom) = 0.176
- size of the total moment (μB per cell) = 0.01


# 8
Compound: ScIr3Pb
Source: Alexandria
Functional: meta-GGA SCAN
Structure: single point on PBEsol structure

```
data_ScIr3Pb
_chemical_formula_sum 'Sc1 Ir3 Pb1'
_space_group_name_H-M_alt 'P m -3 m'
_space_group_IT_number 221
_space_group_name_Hall '-P 4 2 3'
_cell_length_a 4.8616
_cell_length_b 4.8616
_cell_length_c 4.8616
_cell_angle_alpha 90.00
_cell_angle_beta 90.00
_cell_angle_gamma 90.00
loop_
_atom_site_label
_atom_site_fract_x
_atom_site_fract_y
_atom_site_fract_z
_atom_site_occupancy
Sc1 0.0000 0.0000 0.0000 1
Ir1 0.0000 0.5000 0.5000 1
Pb1 0.5000 0.5000 0.5000 1
```

Computed properties:
- Fermi-level density of states (states/eV/cell) = 3.51
- formation energy (eV/atom) = 1.675
- size of the total moment (μB per cell) = 0.00